Entry 1:
The following is a DFT calculation (PBEsol) of a relaxed HgB2P crystal.

Geometry as CIF:
```
data_HgB2P
_chemical_formula_sum 'Hg1 B2 P1'
_space_group_name_H-M_alt 'P 1'
_space_group_IT_number 1
_space_group_name_Hall 'P 1'
_cell_length_a 4.186
_cell_length_b 4.186
_cell_length_c 4.186
_cell_angle_alpha 60.00
_cell_angle_beta 60.00
_cell_angle_gamma 60.00
loop_
_atom_site_label
_atom_site_fract_x
_atom_site_fract_y
_atom_site_fract_z
_atom_site_occupancy
Hg1 0.000 0.000 0.000 1
B1 0.250 0.250 0.250 1
B2 0.750 0.750 0.750 1
P1 0.500 0.500 0.500 1
```

Properties
Formation energy (eV per formula unit): 6.82
VASP energy (Ha/atom): -0.125
Symmetry: Fm-3m

=====

Entry 2:
The following is a DFT calculation (PBEsol) of a relaxed HgB3Pb crystal.

Geometry as CIF:
```
data_HgB3Pb
_chemical_formula_sum 'Hg1 B3 Pb1'
_space_group_name_H-M_alt 'P 1'
_space_group_IT_number 1
_space_group_name_Hall 'P 1'
_cell_length_a 4.643
_cell_length_b 4.643
_cell_length_c 4.643
_cell_angle_alpha 90.00
_cell_angle_beta 90.00
_cell_angle_gamma 90.00
loop_
_atom_site_label
_atom_site_fract_x
_atom_site_fract_y
_atom_site_fract_z
_atom_site_occupancy
Hg1 0.000 0.000 0.000 1
B1 0.000 0.500 0.500 1
B2 0.500 0.000 0.500 1
B3 0.500 0.500 0.000 1
Pb1 0.500 0.500 0.500 1
```

Properties
Formation energy (eV per formula unit): 12.20
VASP energy (Ha/atom): -0.099
Symmetry: Pm-3m

=====

| no. | V (Å³/cell) | DOS at the Fermi energy (states/eV per cell) |
| --- | --- | --- |
| 1 | 51.9 | 1.70 |
| 2 | 100.1 | 3.25 |